1.
Computed, not measured: an optimized crystal structure of Ho2Al8Ir at the GGA-PBE level of DFT.

As for the crystal system: tetragonal.

It has space group P4/mmm (No. 123), with a = 4.273 Å, b = 4.273 Å, c = 11.187 Å, α = 90.00°, β = 90.00° and γ = 90.00°. The inequivalent atoms are Ho at (0.000, 0.000, 0.190), Al at (0.000, 0.500, 0.000), Al at (0.000, 0.500, 0.378), Al at (0.500, 0.500, 0.193) and Ir at (0.000, 0.000, 0.500).



2.
Computed, not measured: an optimized crystal structure of Ho3Mg3AlIr2 at the GGA-PBE level of DFT.

As for the crystal system: hexagonal.

It has space group P-62m (No. 189), with a = 7.3054 Å, b = 7.3054 Å, c = 4.1520 Å, α = 90.00°, β = 90.00° and γ = 120.00°. The inequivalent atoms are Ho at (0.0000, 0.4250, 0.0000), Mg at (0.0000, 0.7474, 0.5000), Al at (0.0000, 0.0000, 0.0000) and Ir at (0.3333, 0.6667, 0.5000).



3.
Computed, not measured: an optimized crystal structure of Ho3Mg3Al2Ir at the GGA-PBE level of DFT.

As for the crystal system: hexagonal.

It has space group P-62m (No. 189), with a = 7.3016 Å, b = 7.3016 Å, c = 4.4190 Å, α = 90.00°, β = 90.00° and γ = 120.00°. The inequivalent atoms are Ho at (0.0000, 0.3995, 0.0000), Mg at (0.0000, 0.7657, 0.5000), Al at (0.3333, 0.6667, 0.5000) and Ir at (0.0000, 0.0000, 0.0000).



no.,DFT total energy (eV per cell),volume (Å³/f.u.)
1,-54.1,204.31
2,-44.3,191.90
3,-38.3,204.03